First-principles (PBE-GGA) data for Ac2La8Pm after structural relaxation, as listed in Alexandria via LeMat-Bulk.

Summary:
Its space group is No. 12. The formation energy from the elements is 0.153 eV/atom.

Unit cell a=10.875 b=10.875 c=5.833 alpha=92.24 beta=92.24 gamma=38.85
Fractional positions:
Ac 0.220 0.220 0.257
Ac 0.780 0.780 0.743
La 0.045 0.045 0.234
La 0.101 0.648 0.259
La 0.328 0.328 0.768
La 0.352 0.899 0.741
La 0.648 0.101 0.259
La 0.672 0.672 0.232
La 0.899 0.352 0.741
La 0.955 0.955 0.766
Pm 0.500 0.500 0.000

=====

First-principles (PBE-GGA) data for TmLu2Sb after structural relaxation, as listed in Alexandria via LeMat-Bulk.

Summary:
For the formation energy from raw total energies, the calculation gives -0.18 eV/atom. Its space group is No. 225.

Unit cell a=5.290 b=5.290 c=5.290 alpha=60.00 beta=60.00 gamma=60.00
Fractional positions:
Tm 0.000 0.000 0.000
Lu 0.250 0.250 0.250
Lu 0.750 0.750 0.750
Sb 0.500 0.500 0.500

=====

no.,offset from the most stable computed form (meV per atom)
1,39
2,251